LiFePO4 | PBE+U | relaxed

```
56
Lattice="9.393 0.000 0.000 0.000 6.193 0.135 0.000 0.845 10.366" Properties=species:S:1:pos:R:3 pbc="T T T"
Li 0.584 6.138 8.829
Li 8.811 4.384 6.298
Li 4.115 3.076 9.386
Li 4.112 5.716 3.646
Li 8.808 0.900 1.672
Li 5.281 1.322 6.854
Li 0.581 2.654 4.203
Li 5.277 3.962 1.115
P 5.925 4.399 6.603
P 8.219 1.281 6.471
P 5.870 0.859 1.288
P 1.173 5.756 4.029
P 3.468 2.639 3.898
P 3.523 6.179 9.212
P 8.164 3.977 1.420
P 1.228 3.061 9.081
O 7.241 1.496 7.693
O 9.130 6.255 6.879
O 4.959 5.833 1.696
O 4.386 1.404 4.042
O 4.953 3.201 6.694
O 9.136 2.779 1.511
O 6.849 4.504 7.863
O 5.007 5.633 6.459
O 2.152 2.956 7.821
O 0.256 4.259 8.989
O 2.197 3.223 10.309
O 6.848 1.074 2.510
O 2.584 6.362 10.455
O 9.082 5.211 1.276
O 0.218 4.563 4.265
O 2.544 2.534 2.638
O 2.112 5.940 5.272
O 2.499 2.800 5.126
O 6.893 4.237 5.374
O 2.545 5.964 7.990
O 0.310 1.827 9.225
O 2.152 5.542 2.807
O 0.263 0.783 3.621
O 9.175 2.475 6.236
O 6.808 0.676 0.045
O 4.914 2.053 1.053
O 4.440 3.837 3.807
O 7.240 4.082 2.680
O 7.281 1.098 5.228
O 7.196 3.815 0.191
O 4.479 4.985 9.448
O 4.433 1.205 8.804
Fe 3.133 4.429 6.529
Fe 6.472 6.140 9.182
Fe 2.920 0.898 1.318
Fe 7.617 5.718 4.000
Fe 1.776 1.320 6.501
Fe 6.260 2.609 3.972
Fe 7.829 3.031 9.155
Fe 1.563 4.006 1.346
```

Output
**M_tot**: 32.0 μB/cell
**Density of states at the Fermi level**: 0.0 states/eV/f.u.
**Energy above the lowest structure with this stoichiometry**: 58.7 meV/atom